B2TeP | PBE | relaxed

Lattice parameters (Å, degrees): 3.3942 3.3942 6.1541 90.00 90.00 120.00
Space group P3m1 (No. 156)
Symmetry-distinct sites (fractional):
B (0.0000, 0.0000, 0.0000) x1
B (0.3333, 0.6667, 0.6111) x1
Te (0.6667, 0.3333, 0.1762) x1
P (0.0000, 0.0000, 0.6831) x1

Its formation energy from raw total energies is 0.34 eV per atom. The size of the total moment comes out at 0.000 μB/atom. The calculation puts the distance to the lowest polymorph of the same formula at 0.102 eV/atom.